# 1
First-principles (PBE) data for a relaxed structure of MgBiSb2, as listed in Alexandria via LeMat-Bulk.

Cell lengths 3.8935, 3.8935, 7.1228 Å; angles 90.00, 90.00, 90.00 degrees
Closest atoms and distances in Å follow each position.
Element x y z (fractional)
1 Mg 0.0000 0.0000 0.0000  8 Sb 3.17
2 Bi 0.0000 0.0000 0.5000  8 Sb 3.40, 2 Mg 3.56
3 Sb 0.5000 0.5000 0.2195  1 Sb 3.13, 4 Mg 3.17, 4 Bi 3.40
4 Sb 0.5000 0.5000 0.7805  1 Sb 3.13, 4 Mg 3.17, 4 Bi 3.40

Output
DFT total energy = -13.6 eV for the cell shown
Total magnetic moment = 0.00 μB per atom
Space-group type = No. 123
Formation energy without anion corrections = 0.0365 eV per atom

# 2
First-principles (PBE) data for a relaxed structure of Be2CuNi2, as listed in Alexandria via LeMat-Bulk.

Cell lengths 8.0398, 8.0398, 2.5035 Å; angles 90.00, 90.00, 162.11 degrees
Closest atoms and distances in Å follow each position.
Element x y z (fractional)
1 Be 0.0993 0.9007 0.0000  4 Ni 2.22, 4 Cu 2.37
2 Be 0.9007 0.0993 0.0000  4 Ni 2.22, 4 Cu 2.37
3 Cu 0.5000 0.5000 0.5000  8 Be 2.37, 4 Cu 2.50
4 Ni 0.3162 0.6838 0.5000  4 Be 2.22, 2 Ni 2.45
5 Ni 0.6838 0.3162 0.5000  4 Be 2.22, 2 Ni 2.45

Output
DFT total energy = -23.8 eV for the cell shown
Total magnetic moment = 0.00 μB per atom
Space-group type = No. 65
ΔH_f (0 K) = -0.134 eV/atom

# 3
First-principles (PBE) data for a relaxed structure of Zr2Be3Pt, as listed in Alexandria via LeMat-Bulk.

Cell lengths 7.9996, 7.6573, 5.1409 Å; angles 74.48, 67.26, 38.26 degrees
Closest atoms and distances in Å follow each position.
Element x y z (fractional)
1 Zr 0.2493 0.7507 0.7507  10 Be 2.75-2.84, 2 Pt 2.81
2 Zr 0.2500 0.2500 0.2500  4 Pt 2.83, 8 Be 2.85-2.87
3 Zr 0.7500 0.7500 0.7500  4 Pt 2.83, 8 Be 2.85-2.87
4 Zr 0.7507 0.2493 0.2493  10 Be 2.75-2.84, 2 Pt 2.81
5 Be 0.1789 0.6623 0.3377  2 Be 2.20-2.24, 1 Pt 2.38
6 Be 0.3377 0.8211 0.1789  2 Be 2.20-2.24, 1 Pt 2.38
7 Be 0.3386 0.3386 0.6614  2 Be 2.24, 1 Pt 2.40
8 Be 0.6614 0.6614 0.3386  2 Be 2.24, 1 Pt 2.40
9 Be 0.6623 0.1789 0.8211  2 Be 2.20-2.24, 1 Pt 2.38
10 Be 0.8211 0.3377 0.6623  2 Be 2.20-2.24, 1 Pt 2.38
11 Pt 0.1653 0.1653 0.8347  3 Be 2.38-2.40
12 Pt 0.8347 0.8347 0.1653  3 Be 2.38-2.40

Output
DFT total energy = -73.7 eV for the cell shown
Total magnetic moment = 0.00 μB per atom
Space-group type = No. 69
ΔH_f (0 K) = -0.419 eV/atom

# 4
First-principles (PBE) data for a relaxed structure of NaSrSbPb, as listed in Alexandria via LeMat-Bulk.

Cell lengths 5.6154, 5.6154, 5.6154 Å; angles 60.00, 60.00, 60.00 degrees
Closest atoms and distances in Å follow each position.
Element x y z (fractional)
1 Na 0.0000 0.0000 0.0000  4 Pb 3.44, 4 Sb 3.44
2 Sr 0.5000 0.5000 0.5000  4 Pb 3.44, 4 Sb 3.44
3 Sb 0.2500 0.2500 0.2500  4 Na 3.44, 4 Sr 3.44
4 Pb 0.7500 0.7500 0.7500  4 Na 3.44, 4 Sr 3.44

Output
DFT total energy = -12.4 eV for the cell shown
Total magnetic moment = 0.00 μB per atom
Space-group type = No. 216
Formation energy without anion corrections = -0.4025 eV per atom

# 5
First-principles (PBE) data for a relaxed structure of GaCuTe, as listed in Alexandria via LeMat-Bulk.

Cell lengths 5.0665, 4.4246, 6.6041 Å; angles 90.00, 109.90, 90.00 degrees
Closest atoms and distances in Å follow each position.
Element x y z (fractional)
1 Ga 0.0000 0.0000 0.0000  1 Cu 2.44
2 Ga 0.1126 0.5000 0.3388  4 Cu 2.52-2.58
3 Cu 0.6381 0.5000 0.3828  2 Ga 2.52-2.58, 2 Cu 2.58, 3 Te 2.63-2.66
4 Cu 0.8581 0.0000 0.3179  3 Ga 2.44-2.54, 2 Cu 2.58, 1 Te 2.60
5 Te 0.3225 0.5000 0.9731  1 Cu 2.63, 2 Ga 2.79
6 Te 0.5909 0.0000 0.5912  3 Cu 2.60-2.66, 1 Ga 2.79

Output
DFT total energy = -21.3 eV for the cell shown
Total magnetic moment = 0.00 μB per atom
Space-group type = No. 6
Formation energy without anion corrections = -0.1279 eV per atom

# 6
First-principles (PBE) data for a relaxed structure of AlAuSe2Br, as listed in Alexandria via LeMat-Bulk.

Cell lengths 5.1222, 5.1222, 5.3476 Å; angles 90.00, 90.00, 90.00 degrees
Closest atoms and distances in Å follow each position.
Element x y z (fractional)
1 Al 0.0000 0.0000 0.0000  4 Br 3.62, 8 Se 3.70
2 Au 0.5000 0.5000 0.5000  4 Se 2.56, 2 Br 2.67
3 Se 0.0000 0.5000 0.5000  2 Au 2.56
4 Se 0.5000 0.0000 0.5000  2 Au 2.56
5 Br 0.5000 0.5000 0.0000  2 Au 2.67

Output
DFT total energy = -13.6 eV for the cell shown
Total magnetic moment = 0.00 μB per atom
Space-group type = No. 123
Formation energy without anion corrections = 0.4160 eV per atom

Which formula does entry 2 have?
Be2CuNi2